(1)
VASP calculation (PBE-GGA) on CeNiSn after structural relaxation.

POSCAR file:
```
CeNiSn
1.0
4.5902 0.0000 0.0000
0.0000 7.4236 0.0000
0.0000 0.0000 7.5432
Sn Ce Ni
4 4 4
direct
0.2500 0.3171 0.5926
0.7500 0.1829 0.0926
0.2500 0.8171 0.9074
0.7500 0.6829 0.4074
0.7500 0.0213 0.6971
0.2500 0.9787 0.3029
0.2500 0.4787 0.1971
0.7500 0.5213 0.8029
0.7500 0.8007 0.0778
0.2500 0.6993 0.5778
0.2500 0.1993 0.9222
0.7500 0.3007 0.4222
```

**DFT formation energy**: -0.590 eV per atom
**Theoretical density**: 8.205 Mg/m³

(2)
VASP calculation (PBE-GGA) on CeNi5Sn after structural relaxation.

POSCAR file:
```
CeNi5Sn
1.0
-0.4000 3.0394 -3.8395
-6.8232 -3.7190 -2.2333
-5.4567 6.5543 5.7569
Sn Ni Ce
4 20 4
direct
0.2500 0.3615 0.6421
0.7500 0.1385 0.1421
0.2500 0.8615 0.8579
0.7500 0.6385 0.3579
0.7500 0.3200 0.7533
0.2500 0.0858 0.4816
0.2500 0.6800 0.2467
0.7500 0.0611 0.8989
0.4992 0.5712 0.8097
0.0008 0.0712 0.6903
0.2500 0.4389 0.3989
0.4992 0.0712 0.6903
0.9992 0.4288 0.1903
0.2500 0.1800 0.2533
0.2500 0.9389 0.1011
0.7500 0.9142 0.5184
0.5008 0.4288 0.1903
0.5008 0.9288 0.3097
0.2500 0.5858 0.0184
0.7500 0.8200 0.7467
0.7500 0.4142 0.9816
0.7500 0.5611 0.6011
0.0008 0.5712 0.8097
0.9992 0.9288 0.3097
0.7500 0.2451 0.4444
0.2500 0.7549 0.5556
0.2500 0.2549 0.9444
0.7500 0.7451 0.0556
```

**DFT formation energy**: -0.376 eV per atom
**Theoretical density**: 8.974 Mg/m³

(3)
VASP calculation (PBE-GGA) on Ce3Ni2Sn4 after structural relaxation.

POSCAR file:
```
Ce3Ni2Sn4
1.0
2.2998 5.7524 -0.0913
-2.2998 5.7524 -0.0913
0.0000 2.0474 8.3753
Ni Ce Sn
2 3 4
direct
0.4260 0.4260 0.2689
0.5740 0.5740 0.7311
0.0000 0.0000 0.0000
0.6470 0.6470 0.3374
0.3530 0.3530 0.6626
0.2807 0.2807 0.0861
0.9187 0.9187 0.3905
0.0813 0.0813 0.6095
0.7193 0.7193 0.9139
```

**DFT formation energy**: -0.530 eV per atom
**Theoretical density**: 7.558 Mg/m³

(4)
VASP calculation (PBE-GGA) on Ce2NiSn4 after structural relaxation.

POSCAR file:
```
Ce2NiSn4
1.0
-1.3651 2.6015 -3.4059
2.6508 -2.3228 -2.8367
-5.1636 -6.6362 -2.9992
Ce Sn Ni
2 4 1
direct
0.2500 0.8960 0.2081
0.7500 0.1032 0.7935
0.2500 0.5450 0.9099
0.2500 0.2587 0.4826
0.7500 0.7592 0.4816
0.7500 0.4326 0.1347
0.2500 0.6898 0.6204
```

**DFT formation energy**: -0.559 eV per atom
**Theoretical density**: 7.689 Mg/m³

(5)
VASP calculation (PBE-GGA) on CeNi2Sn after structural relaxation.

POSCAR file:
```
CeNi2Sn
1.0
4.1302 0.0000 0.0000
0.0000 5.1033 -0.7286
0.0000 -2.3668 4.5796
Ni Ce Sn
2 1 1
direct
0.5000 0.0922 0.4264
0.5000 0.5736 0.9078
0.5000 0.5981 0.4019
0.0000 0.9512 0.0488
```

**DFT formation energy**: 0.000 eV per atom
**Theoretical density**: 6.987 Mg/m³

(6)
VASP calculation (PBE-GGA) on CeNi2Sn after structural relaxation.

POSCAR file:
```
CeNi2Sn
1.0
3.1948 0.0000 0.0000
0.0000 3.1948 0.0000
0.0000 0.0000 6.8953
Ce Ni Sn
1 2 1
direct
0.5000 0.5000 0.5000
0.0000 0.0000 0.7862
0.0000 0.0000 0.2138
0.5000 0.5000 0.0000
```

**DFT formation energy**: -0.216 eV per atom
**Theoretical density**: 8.876 Mg/m³

(7)
VASP calculation (PBE-GGA) on Ce2NiSn after structural relaxation.

POSCAR file:
```
Ce2NiSn
1.0
4.6252 0.0000 0.0000
0.0000 4.3653 0.0000
0.0000 0.0000 4.3653
Ni Sn Ce
1 1 2
direct
0.5000 0.0000 0.0000
0.5000 0.5000 0.5000
0.0000 0.5000 0.0000
0.0000 0.0000 0.5000
```

**DFT formation energy**: -0.326 eV per atom
**Theoretical density**: 8.622 Mg/m³

(8)
VASP calculation (PBE-GGA) on Ce11Ni4Sn9 after structural relaxation.

POSCAR file:
```
Ce11Ni4Sn9
1.0
-0.4454 -3.8409 1.7317
10.4181 -3.6629 -5.4443
1.9750 4.8040 11.1632
Ce Sn Ni
11 9 4
direct
0.0000 0.0000 0.0000
0.0000 0.6267 0.3733
0.0000 0.6893 0.6893
0.0000 0.8375 0.1625
0.0000 0.4148 0.0751
0.0000 0.3107 0.3107
0.0000 0.5852 0.9249
0.0000 0.0751 0.4148
0.0000 0.3733 0.6267
0.0000 0.1625 0.8375
0.0000 0.9249 0.5852
0.5000 0.5000 0.5000
0.5000 0.1552 0.6256
0.5000 0.9265 0.7790
0.5000 0.8448 0.3744
0.5000 0.6256 0.1552
0.5000 0.7790 0.9265
0.5000 0.0735 0.2210
0.5000 0.2210 0.0735
0.5000 0.3744 0.8448
0.5000 0.4491 0.2477
0.5000 0.5509 0.7523
0.5000 0.2477 0.4491
0.5000 0.7523 0.5509
```

**DFT formation energy**: -0.576 eV per atom
**Theoretical density**: 7.955 Mg/m³

- Which of these has the lowest DFT formation energy?
  CeNiSn

- The lowest theoretical density belongs to which entry?
  number 5

- Look up the theoretical density of the seventh one.
  8.622 Mg/m³